A plane-wave DFT calculation with PBE-GGA was carried out for a relaxed NaCdTc2 crystal.

The structure in POSCAR format:
```
NaCdTc2
1.0
7.947 0.000 0.000
0.000 7.947 0.000
3.973 3.973 2.470
Tc Cd Na
4 2 2
Direct
0.875 0.904 0.750
0.096 0.625 0.250
0.375 0.346 0.750
0.654 0.125 0.250
0.000 0.000 0.000
0.750 0.250 0.500
0.250 0.750 0.500
0.500 0.500 0.000
```

volume	156.0	Å³ per cell
calculated formation energy	1.2454	eV per atom

***

A plane-wave DFT calculation with PBE-GGA was carried out for a relaxed NaCd3Tc crystal.

The structure in POSCAR format:
```
NaCd3Tc
1.0
5.102 0.000 0.000
0.000 5.102 0.000
0.000 0.000 5.102
Cd Tc Na
3 1 1
Direct
0.000 0.000 0.500
0.500 0.000 0.000
0.000 0.500 0.000
0.500 0.500 0.500
0.000 0.000 0.000
```

volume	132.8	Å³ per cell
calculated formation energy	1.3061	eV per atom
energy relative to the lowest polymorph listed for this composition	761	meV/atom

***

A plane-wave DFT calculation with PBE-GGA was carried out for a relaxed NaVCdTc2 crystal.

The structure in POSCAR format:
```
NaVCdTc2
1.0
4.487 0.000 0.000
0.000 4.487 0.000
0.000 0.000 5.119
Na V Tc Cd
1 1 2 1
Direct
0.000 0.000 0.500
0.000 0.000 0.000
0.000 0.500 0.000
0.500 0.000 0.000
0.500 0.500 0.500
```

volume	103.1	Å³ per cell
calculated formation energy	1.1711	eV per atom

***

A plane-wave DFT calculation with PBE-GGA was carried out for a relaxed NaVCd2Tc crystal.

The structure in POSCAR format:
```
NaVCd2Tc
1.0
4.833 0.000 0.000
0.000 4.712 0.000
0.000 0.000 4.833
V Tc Cd Na
1 1 2 1
Direct
0.000 0.500 0.000
0.500 0.500 0.500
0.000 0.000 0.500
0.500 0.000 0.000
0.000 0.000 0.000
```

volume	110.1	Å³ per cell
calculated formation energy	1.7429	eV per atom

***

A plane-wave DFT calculation with PBE-GGA was carried out for a relaxed NaCd2TcW crystal.

The structure in POSCAR format:
```
NaCd2TcW
1.0
4.656 0.000 0.000
0.000 5.055 0.000
0.000 0.000 4.656
Cd Na W Tc
2 1 1 1
Direct
0.000 0.000 0.500
0.500 0.000 0.000
0.000 0.000 0.000
0.000 0.500 0.000
0.500 0.500 0.500
```

volume	109.6	Å³ per cell
calculated formation energy	2.1788	eV per atom

***

A plane-wave DFT calculation with PBE-GGA was carried out for a relaxed Na5Cd2Te5 crystal.

The structure in POSCAR format:
```
Na5Cd2Te5
1.0
4.195 0.000 0.000
-2.097 7.648 -0.070
0.000 -3.770 12.071
Cd Na Te
2 5 5
Direct
0.955 0.911 0.210
0.045 0.089 0.790
0.500 0.000 0.500
0.337 0.675 0.951
0.663 0.325 0.049
0.245 0.490 0.642
0.755 0.510 0.358
0.323 0.646 0.198
0.677 0.354 0.802
0.111 0.222 0.397
0.000 0.000 0.000
0.889 0.778 0.603
```

volume	386.2	Å³ per cell
formation energy from raw total energies	-0.68	eV/atom
energy relative to the lowest polymorph listed for this composition	0	meV/atom